[1]
This record from Alexandria describes a relaxed InMoC2 crystal. The functional is PBE.

final energy	-7.218	eV per atom
calculated formation energy	0.786	eV/atom
size of the total moment	0.0	μB/cell

Cell lengths 5.001, 5.001, 5.982 Å; angles 65.29, 65.29, 90.00 degrees
Positions (direct):
C1 0.576 0.125 0.250
In1 0.750 0.250 0.500
Mo1 0.250 0.750 0.500
C2 0.375 0.424 0.750
C3 0.875 0.826 0.750
C4 0.174 0.625 0.250
In2 0.000 0.000 0.000
Mo2 0.500 0.500 0.000

[2]
This record from Alexandria describes a relaxed InMo2C crystal. The functional is PBE.

final energy	-7.447	eV per atom
calculated formation energy	0.959	eV/atom
E above lowest polymorph	3.64	eV per formula unit
size of the total moment	0.0	μB/cell

Cell lengths 5.247, 5.247, 6.735 Å; angles 67.07, 67.07, 90.00 degrees
Positions (direct):
Mo1 0.278 0.625 0.250
In1 0.000 0.000 0.000
Mo2 0.472 0.125 0.250
C1 0.500 0.500 0.000
Mo3 0.875 0.722 0.750
C2 0.250 0.750 0.500
In2 0.750 0.250 0.500
Mo4 0.375 0.528 0.750

[3]
This record from Alexandria describes a relaxed InMo2C crystal. The functional is PBE.

final energy	-6.915	eV per atom
calculated formation energy	1.491	eV/atom
E above lowest polymorph	5.76	eV per formula unit
size of the total moment	0.0	μB/cell

Cell lengths 4.366, 4.366, 4.366 Å; angles 60.00, 60.00, 60.00 degrees
Positions (direct):
Mo1 0.250 0.250 0.250
In1 0.500 0.500 0.500
Mo2 0.750 0.750 0.750
C1 0.000 0.000 0.000

[4]
This record from Alexandria describes a relaxed InMo2C crystal. The functional is PBE.

final energy	-8.356	eV per atom
calculated formation energy	0.050	eV/atom
E above lowest polymorph	0.00	eV per formula unit
size of the total moment	0.0	μB/cell

Cell lengths 3.138, 3.138, 7.312 Å; angles 77.61, 77.61, 60.00 degrees
Positions (direct):
Mo1 0.281 0.281 0.157
In1 0.500 0.500 0.500
Mo2 0.719 0.719 0.843
C1 0.000 0.000 0.000

[5]
This record from Alexandria describes a relaxed NbInMo2C crystal. The functional is PBE.

final energy	-5.177	eV per atom
calculated formation energy	3.562	eV/atom
size of the total moment	0.0	μB/cell

Cell lengths 4.877, 5.035, 4.877 Å; angles 90.00, 90.00, 90.00 degrees
Positions (direct):
In1 0.000 0.000 0.000
C1 0.500 0.500 0.500
Mo1 0.500 0.000 0.000
Nb1 0.000 0.500 0.000
Mo2 0.000 0.000 0.500

[6]
This record from Alexandria describes a relaxed InMo2CS crystal. The functional is PBE.

final energy	-5.569	eV per atom
energy relative to the elements, uncorrected	1982	meV per atom
size of the total moment	0.0	μB/cell

Cell lengths 4.380, 5.124, 4.380 Å; angles 90.00, 90.00, 90.00 degrees
Positions (direct):
C1 0.500 0.500 0.500
Mo1 0.000 0.000 0.500
S1 0.000 0.000 0.000
In1 0.000 0.500 0.000
Mo2 0.500 0.000 0.000